Here is a relaxed structure of BaSe2S from Alexandria via LeMat-Bulk. Energies are from PBE. Values from VASP.

Quantum ESPRESSO input file:
```
&SYSTEM
  ibrav = 0, nat = 4, ntyp = 3
/
ATOMIC_SPECIES
S 32.06 S.upf
Se 78.96 Se.upf
Ba 137.33 Ba.upf
ATOMIC_POSITIONS crystal
S 0.000 0.000 0.000
Se 0.116 0.116 0.116
Ba 0.500 0.500 0.500
Se 0.884 0.884 0.884
CELL_PARAMETERS angstrom
7.492 -0.001 -0.001
5.537 5.047 -0.001
5.537 2.144 4.569
```

Summary:
E_form (uncorrected) in eV per formula unit: -2.19
Space-group type: No. 166
Theoretical density in g/cm³: 3.15
Crystal system: trigonal

=====

Here is a relaxed structure of BaSeS3 from Alexandria via LeMat-Bulk. Energies are from PBE. Values from VASP.

Quantum ESPRESSO input file:
```
&SYSTEM
  ibrav = 0, nat = 10, ntyp = 3
/
ATOMIC_SPECIES
Se 78.96 Se.upf
S 32.06 S.upf
Ba 137.33 Ba.upf
ATOMIC_POSITIONS crystal
Se 0.521 0.750 0.155
S 0.856 0.250 0.852
S 0.677 0.487 0.325
S 0.144 0.750 0.148
S 0.323 0.513 0.675
Ba 0.831 0.750 0.707
S 0.323 0.987 0.675
S 0.677 0.013 0.325
Se 0.479 0.250 0.845
Ba 0.169 0.250 0.293
CELL_PARAMETERS angstrom
-3.601 0.848 4.588
0.845 -6.418 1.850
7.447 1.548 1.970
```

Summary:
E_form (uncorrected) in eV per formula unit: -3.98
Space-group type: No. 11
Theoretical density in g/cm³: 3.56
Crystal system: monoclinic

=====

Here is a relaxed structure of BaSe2S from Alexandria via LeMat-Bulk. Energies are from PBE. Values from VASP.

Quantum ESPRESSO input file:
```
&SYSTEM
  ibrav = 0, nat = 4, ntyp = 3
/
ATOMIC_SPECIES
S 32.06 S.upf
Ba 137.33 Ba.upf
Se 78.96 Se.upf
ATOMIC_POSITIONS crystal
S 0.500 0.500 0.500
Ba 0.000 0.000 0.000
Se 0.203 0.203 0.203
Se 0.797 0.797 0.797
CELL_PARAMETERS angstrom
2.478 5.140 1.604
1.495 2.029 5.365
5.334 1.126 2.326
```

Summary:
E_form (uncorrected) in eV per formula unit: -2.16
Space-group type: No. 166
Theoretical density in g/cm³: 4.88
Crystal system: trigonal

=====

Which value of E_form (uncorrected) does entry 1 give?
-2.19 eV per formula unit